Here is crystalline Na2FeO2 at its relaxed geometry from Alexandria. Energies are from GGA+U.

abc: 5.7749 8.0283 6.0602
angles: 90.00 90.00 95.23
With the nearest neighbours (Å) after each atom.
Sites, in units of the cell vectors:
Na: 0.0646 0.6681 0.1562  4 O 2.33-2.59
Na: 0.9938 0.9812 0.7445  4 O 2.36-2.49
Na: 0.0062 0.0188 0.2555  4 O 2.36-2.49
Na: 0.4938 0.9812 0.7555  4 O 2.36-2.49
Na: 0.4355 0.3319 0.6562  4 O 2.33-2.59
Na: 0.5645 0.6681 0.3438  4 O 2.33-2.59
Na: 0.5062 0.0188 0.2445  4 O 2.36-2.49
Na: 0.9354 0.3319 0.8438  4 O 2.33-2.59
O: 0.2435 0.8525 0.4698  1 Fe 1.95
O: 0.7435 0.8525 0.0302  1 Fe 1.95
O: 0.7565 0.1475 0.5302  1 Fe 1.95
O: 0.2998 0.5561 0.8937  3 Fe 1.96-2.16
O: 0.7998 0.5561 0.6063  3 Fe 1.96-2.16
O: 0.7002 0.4439 0.1063  3 Fe 1.96-2.16
O: 0.2002 0.4439 0.3937  3 Fe 1.96-2.16
O: 0.2565 0.1475 0.9698  1 Fe 1.95
Fe: 0.1606 0.6428 0.6262  4 O 1.95-2.16
Fe: 0.8394 0.3572 0.3738  4 O 1.95-2.16
Fe: 0.6607 0.6428 0.8738  4 O 1.95-2.16
Fe: 0.3393 0.3572 0.1262  4 O 1.95-2.16

Values from the calculation:
Uncorrected energy ... -99.26 eV for the cell shown
Space group ... P2_1/c (14)
V ... 280 Å³/cell
M_tot ... 4.0 μB/f.u.